No. 1
The following is a GGA-PBE calculation of CsCu3ReTe4 after structural relaxation, from OQMD via LeMat-Bulk.

Lattice parameters (Å, degrees): 6.7189 6.7189 6.7189 90.00 90.00 90.00
Space group P-43m (No. 215)
Asymmetric unit:
Cs  0.0000  0.0000  0.0000 x1
Cu  0.0000  0.5000  0.5000 x3
Re  0.5000  0.5000  0.5000 x1
Te  0.2839  0.2839  0.2839 x4

Properties
The value obtained for the final energy is -3.9410 eV per atom.

No. 2
The following is a GGA-PBE calculation of Cs2CuS2 after structural relaxation, from OQMD via LeMat-Bulk.

Lattice parameters (Å, degrees): 12.3890 3.6635 7.0030 90.00 104.73 90.00
Space group C2/m (No. 12)
Asymmetric unit:
Cs  0.1604  0.0000  0.2080 x4
Cu  0.0000  0.5000  0.5000 x2
S  0.0989  0.0000  0.6838 x4

Properties
The value obtained for the final energy is -3.3781 eV per atom.

No. 3
The following is a GGA-PBE calculation of CsCuS after structural relaxation, from OQMD via LeMat-Bulk.

Lattice parameters (Å, degrees): 4.0624 4.0624 10.6190 90.00 90.00 120.00
Space group P6_3/mmc (No. 194)
Asymmetric unit:
Cs  0.0000  0.0000  0.0000 x2
Cu  0.3333  0.6667  0.2500 x2
S  0.3333  0.6667  0.7500 x2

Properties
The value obtained for the final energy is -3.5323 eV per atom.

No. 4
The following is a GGA-PBE calculation of CsCuS4 after structural relaxation, from OQMD via LeMat-Bulk.

Lattice parameters (Å, degrees): 5.2533 8.8558 13.6634 90.00 90.00 90.00
Space group P2_12_12_1 (No. 19)
Asymmetric unit:
Cs  0.1622  0.0735  0.3361 x4
Cu  0.0363  0.1410  0.0612 x4
S  0.0678  0.5659  0.9238 x4
S  0.1186  0.7071  0.5918 x4
S  0.1504  0.3596  0.8498 x4
S  0.1848  0.9033  0.0974 x4

Properties
The value obtained for the final energy is -3.9525 eV per atom. As for the energy above the lowest structure with this stoichiometry: 0.0 meV/atom.

No. 5
The following is a GGA-PBE calculation of CsCuS3 after structural relaxation, from OQMD via LeMat-Bulk.

Lattice parameters (Å, degrees): 5.9035 13.5790 7.2459 90.00 113.14 90.00
Space group C2/c (No. 15)
Asymmetric unit:
Cs  0.0000  0.1551  0.2500 x4
Cu  0.0000  0.4535  0.2500 x4
S  0.0000  0.1692  0.7500 x4
S  0.2039  0.4207  0.0626 x8

Properties
The value obtained for the final energy is -3.8606 eV per atom.

No. 6
The following is a GGA-PBE calculation of CsCuS4 after structural relaxation, from OQMD via LeMat-Bulk.

Lattice parameters (Å, degrees): 5.4411 7.2977 9.2744 105.01 96.75 110.37
Space group P-1 (No. 2)
Asymmetric unit:
Cs  0.1253  0.3573  0.2416 x2
Cu  0.2479  0.9935  0.4919 x2
S  0.1704  0.2759  0.6350 x2
S  0.2409  0.2426  0.8526 x2
S  0.4140  0.8165  0.1318 x2
S  0.4869  0.9174  0.6794 x2

Properties
The value obtained for the final energy is -3.9462 eV per atom. As for the energy above the lowest structure with this stoichiometry: 6.3 meV/atom.

No. 7
The following is a GGA-PBE calculation of CsCuSiSeS2 after structural relaxation, from OQMD via LeMat-Bulk.

Lattice parameters (Å, degrees): 3.5558 15.9138 10.0075 90.00 90.00 90.00
Space group Cmcm (No. 63)
Asymmetric unit:
Cs  0.0000  0.2478  0.2500 x4
Cu  0.0000  0.0536  0.7500 x4
Si  0.0000  0.5000  0.0000 x4
Se  0.0000  0.4486  0.7500 x4
S  0.0000  0.0993  0.5379 x8

Properties
The value obtained for the final energy is -4.0975 eV per atom.

No. 8
The following is a GGA-PBE calculation of CsSm2CuSe3S after structural relaxation, from OQMD via LeMat-Bulk.

Lattice parameters (Å, degrees): 4.1715 14.6397 14.6396 90.00 90.00 90.00
Space group Cmcm (No. 63)
Asymmetric unit:
Cs  0.0000  0.1089  0.2500 x4
Sm  0.0000  0.3708  0.0600 x8
Cu  0.0000  0.1663  0.7500 x4
Se  0.0000  0.2578  0.6077 x8
Se  0.0000  0.4237  0.2500 x4
S  0.0000  0.0000  0.0000 x4

Properties
The value obtained for the final energy is -5.0858 eV per atom. As for the energy above the lowest structure with this stoichiometry: 24.2 meV/atom.

> The lowest final energy belongs to which entry?

CsSm2CuSe3S